# PaTcP2Ru5, relaxed, DFT PBE
# energy of formation	0.142	eV/atom
# crystal system	tetragonal
data_PaTcP2Ru5
_cell_length_a 3.8633
_cell_length_b 3.8633
_cell_length_c 10.7253
_cell_angle_alpha 90.00
_cell_angle_beta 90.00
_cell_angle_gamma 90.00
_space_group_name_H-M_alt 'P 4/m m m'
_space_group_IT_number 123
_space_group_name_Hall '-P 4 2'
loop_
_atom_site_label
_atom_site_type_symbol
_atom_site_fract_x
_atom_site_fract_y
_atom_site_fract_z
_atom_site_occupancy
Pa1 Pa 0.0000 0.0000 0.0000 1
Tc1 Tc 0.5000 0.5000 0.5000 1
P1 P 0.5000 0.5000 0.2149 1
Ru1 Ru 0.0000 0.5000 0.3405 1
Ru2 Ru 0.5000 0.5000 0.0000 1

# ThPaP2Ru5, relaxed, DFT PBE
# energy of formation	-0.477	eV/atom
# crystal system	tetragonal
data_ThPaP2Ru5
_cell_length_a 4.0317
_cell_length_b 4.0317
_cell_length_c 10.5253
_cell_angle_alpha 90.00
_cell_angle_beta 90.00
_cell_angle_gamma 90.00
_space_group_name_H-M_alt 'P 4/m m m'
_space_group_IT_number 123
_space_group_name_Hall '-P 4 2'
loop_
_atom_site_label
_atom_site_type_symbol
_atom_site_fract_x
_atom_site_fract_y
_atom_site_fract_z
_atom_site_occupancy
Th1 Th 0.0000 0.0000 0.0000 1
Pa1 Pa 0.0000 0.0000 0.5000 1
P1 P 0.5000 0.5000 0.2169 1
Ru1 Ru 0.0000 0.5000 0.3191 1
Ru2 Ru 0.5000 0.5000 0.0000 1

# ThPaP2Ru2, relaxed, DFT PBE
# energy of formation	-1.040	eV/atom
# crystal system	trigonal
data_ThPaP2Ru2
_cell_length_a 4.1040
_cell_length_b 4.1040
_cell_length_c 7.8020
_cell_angle_alpha 90.00
_cell_angle_beta 90.00
_cell_angle_gamma 120.00
_space_group_name_H-M_alt 'P -3 m 1'
_space_group_IT_number 164
_space_group_name_Hall '-P 3 2"'
loop_
_atom_site_label
_atom_site_type_symbol
_atom_site_fract_x
_atom_site_fract_y
_atom_site_fract_z
_atom_site_occupancy
Th1 Th 0.0000 0.0000 0.0000 1
Pa1 Pa 0.0000 0.0000 0.5000 1
P1 P 0.3333 0.6667 0.2349 1
Ru1 Ru 0.3333 0.6667 0.7146 1

# PaTiP2Ru5, relaxed, DFT PBE
# energy of formation	-0.681	eV/atom
# crystal system	tetragonal
data_PaTiP2Ru5
_cell_length_a 4.0608
_cell_length_b 4.0608
_cell_length_c 8.2901
_cell_angle_alpha 90.00
_cell_angle_beta 90.00
_cell_angle_gamma 90.00
_space_group_name_H-M_alt 'P 4/m m m'
_space_group_IT_number 123
_space_group_name_Hall '-P 4 2'
loop_
_atom_site_label
_atom_site_type_symbol
_atom_site_fract_x
_atom_site_fract_y
_atom_site_fract_z
_atom_site_occupancy
Pa1 Pa 0.0000 0.0000 0.0000 1
Ti1 Ti 0.0000 0.0000 0.5000 1
P1 P 0.5000 0.5000 0.1410 1
Ru1 Ru 0.0000 0.5000 0.2763 1
Ru2 Ru 0.5000 0.5000 0.5000 1

# TmPaP2Ru5, relaxed, DFT PBE
# energy of formation	-0.616	eV/atom
# crystal system	tetragonal
data_TmPaP2Ru5
_cell_length_a 4.1368
_cell_length_b 4.1368
_cell_length_c 8.4707
_cell_angle_alpha 90.00
_cell_angle_beta 90.00
_cell_angle_gamma 90.00
_space_group_name_H-M_alt 'P 4/m m m'
_space_group_IT_number 123
_space_group_name_Hall '-P 4 2'
loop_
_atom_site_label
_atom_site_type_symbol
_atom_site_fract_x
_atom_site_fract_y
_atom_site_fract_z
_atom_site_occupancy
Tm1 Tm 0.0000 0.0000 0.0000 1
Pa1 Pa 0.0000 0.0000 0.5000 1
P1 P 0.5000 0.5000 0.3600 1
Ru1 Ru 0.0000 0.5000 0.2397 1
Ru2 Ru 0.5000 0.5000 0.0000 1

# UPaP2Ru5, relaxed, DFT PBE
# energy of formation	-0.292	eV/atom
# crystal system	tetragonal
data_UPaP2Ru5
_cell_length_a 3.9704
_cell_length_b 3.9704
_cell_length_c 10.6789
_cell_angle_alpha 90.00
_cell_angle_beta 90.00
_cell_angle_gamma 90.00
_space_group_name_H-M_alt 'P 4/m m m'
_space_group_IT_number 123
_space_group_name_Hall '-P 4 2'
loop_
_atom_site_label
_atom_site_type_symbol
_atom_site_fract_x
_atom_site_fract_y
_atom_site_fract_z
_atom_site_occupancy
U1 U 0.0000 0.0000 0.0000 1
Pa1 Pa 0.0000 0.0000 0.5000 1
P1 P 0.5000 0.5000 0.2136 1
Ru1 Ru 0.0000 0.5000 0.3190 1
Ru2 Ru 0.5000 0.5000 0.0000 1

# PaVP2Ru, relaxed, DFT PBE
# energy of formation	-0.853	eV/atom
# crystal system	tetragonal
data_PaVP2Ru
_cell_length_a 4.0625
_cell_length_b 4.0625
_cell_length_c 9.6507
_cell_angle_alpha 90.00
_cell_angle_beta 90.00
_cell_angle_gamma 90.00
_space_group_name_H-M_alt 'I -4 m 2'
_space_group_IT_number 119
_space_group_name_Hall 'I -4 -2'
loop_
_atom_site_label
_atom_site_type_symbol
_atom_site_fract_x
_atom_site_fract_y
_atom_site_fract_z
_atom_site_occupancy
Pa1 Pa 0.0000 0.0000 0.0000 1
V1 V 0.0000 0.5000 0.2500 1
P1 P 0.0000 0.0000 0.3776 1
Ru1 Ru 0.0000 0.5000 0.7500 1

# PaZnP2Ru5, relaxed, DFT PBE
# energy of formation	-0.445	eV/atom
# crystal system	tetragonal
data_PaZnP2Ru5
_cell_length_a 4.1127
_cell_length_b 4.1127
_cell_length_c 8.0556
_cell_angle_alpha 90.00
_cell_angle_beta 90.00
_cell_angle_gamma 90.00
_space_group_name_H-M_alt 'P 4/m m m'
_space_group_IT_number 123
_space_group_name_Hall '-P 4 2'
loop_
_atom_site_label
_atom_site_type_symbol
_atom_site_fract_x
_atom_site_fract_y
_atom_site_fract_z
_atom_site_occupancy
Pa1 Pa 0.0000 0.0000 0.0000 1
Zn1 Zn 0.0000 0.0000 0.5000 1
P1 P 0.5000 0.5000 0.1438 1
Ru1 Ru 0.0000 0.5000 0.2820 1
Ru2 Ru 0.5000 0.5000 0.5000 1

# ZrPaP2Ru5, relaxed, DFT PBE
# energy of formation	-0.704	eV/atom
# crystal system	tetragonal
data_ZrPaP2Ru5
_cell_length_a 4.0939
_cell_length_b 4.0939
_cell_length_c 8.4840
_cell_angle_alpha 90.00
_cell_angle_beta 90.00
_cell_angle_gamma 90.00
_space_group_name_H-M_alt 'P 4/m m m'
_space_group_IT_number 123
_space_group_name_Hall '-P 4 2'
loop_
_atom_site_label
_atom_site_type_symbol
_atom_site_fract_x
_atom_site_fract_y
_atom_site_fract_z
_atom_site_occupancy
Zr1 Zr 0.0000 0.0000 0.0000 1
Pa1 Pa 0.0000 0.0000 0.5000 1
P1 P 0.5000 0.5000 0.3600 1
Ru1 Ru 0.0000 0.5000 0.2349 1
Ru2 Ru 0.5000 0.5000 0.0000 1

# PaPS, relaxed, DFT PBE
# energy above the most stable polymorph in this dataset	136.9	meV/atom
# crystal system	monoclinic
# formation energy without anion corrections	-1234	meV/atom
data_PaPS
_cell_length_a 6.6085
_cell_length_b 6.6699
_cell_length_c 6.7560
_cell_angle_alpha 90.00
_cell_angle_beta 102.61
_cell_angle_gamma 90.00
_space_group_name_H-M_alt 'P 1 21/c 1'
_space_group_IT_number 14
loop_
_space_group_symop_operation_xyz
'x,y,z'
'-x,-y,-z'
'-x,y+1/2,-z+1/2'
'x,-y+1/2,z+1/2'
loop_
_atom_site_label
_atom_site_type_symbol
_atom_site_fract_x
_atom_site_fract_y
_atom_site_fract_z
_atom_site_occupancy
Pa1 Pa 0.2063 0.0509 0.3005 1
P1 P 0.0645 0.7440 0.5142 1
S1 S 0.4454 0.1792 0.6542 1

# Pa2PS, relaxed, DFT PBE
# energy above the most stable polymorph in this dataset	443.6	meV/atom
# crystal system	tetragonal
# formation energy without anion corrections	-1039	meV/atom
data_Pa2PS
_cell_length_a 7.0705
_cell_length_b 7.0705
_cell_length_c 3.6082
_cell_angle_alpha 90.00
_cell_angle_beta 90.00
_cell_angle_gamma 90.00
_space_group_name_H-M_alt 'P -4 21 m'
_space_group_IT_number 113
loop_
_space_group_symop_operation_xyz
'x,y,z'
'y,-x,-z'
'-x,-y,z'
'-y,x,-z'
'x+1/2,-y+1/2,-z'
'y+1/2,x+1/2,z'
'-x+1/2,y+1/2,-z'
'-y+1/2,-x+1/2,z'
loop_
_atom_site_label
_atom_site_type_symbol
_atom_site_fract_x
_atom_site_fract_y
_atom_site_fract_z
_atom_site_occupancy
Pa1 Pa 0.2118 0.2882 0.2562 1
P1 P 0.0000 0.5000 0.7529 1
S1 S 0.0000 0.0000 0.5000 1

# Pa3P3S, relaxed, DFT PBE
# crystal system	cubic
# formation energy without anion corrections	-1047	meV/atom
data_Pa3P3S
_cell_length_a 5.5290
_cell_length_b 5.5290
_cell_length_c 5.5290
_cell_angle_alpha 90.00
_cell_angle_beta 90.00
_cell_angle_gamma 90.00
_space_group_name_H-M_alt 'P m -3 m'
_space_group_IT_number 221
_space_group_name_Hall '-P 4 2 3'
loop_
_atom_site_label
_atom_site_type_symbol
_atom_site_fract_x
_atom_site_fract_y
_atom_site_fract_z
_atom_site_occupancy
Pa1 Pa 0.0000 0.0000 0.5000 1
P1 P 0.0000 0.5000 0.5000 1
S1 S 0.0000 0.0000 0.0000 1

What did the tenth record say?
# PaPS, relaxed, DFT PBE
# energy above the most stable polymorph in this dataset	136.9	meV/atom
# crystal system	monoclinic
# formation energy without anion corrections	-1234	meV/atom
data_PaPS
_cell_length_a 6.6085
_cell_length_b 6.6699
_cell_length_c 6.7560
_cell_angle_alpha 90.00
_cell_angle_beta 102.61
_cell_angle_gamma 90.00
_space_group_name_H-M_alt 'P 1 21/c 1'
_space_group_IT_number 14
loop_
_space_group_symop_operation_xyz
'x,y,z'
'-x,-y,-z'
'-x,y+1/2,-z+1/2'
'x,-y+1/2,z+1/2'
loop_
_atom_site_label
_atom_site_type_symbol
_atom_site_fract_x
_atom_site_fract_y
_atom_site_fract_z
_atom_site_occupancy
Pa1 Pa 0.2063 0.0509 0.3005 1
P1 P 0.0645 0.7440 0.5142 1
S1 S 0.4454 0.1792 0.6542 1

> Which formula does entry 11 have?

Pa2PS

Please write out number 8 again, unchanged.
# PaZnP2Ru5, relaxed, DFT PBE
# energy of formation	-0.445	eV/atom
# crystal system	tetragonal
data_PaZnP2Ru5
_cell_length_a 4.1127
_cell_length_b 4.1127
_cell_length_c 8.0556
_cell_angle_alpha 90.00
_cell_angle_beta 90.00
_cell_angle_gamma 90.00
_space_group_name_H-M_alt 'P 4/m m m'
_space_group_IT_number 123
_space_group_name_Hall '-P 4 2'
loop_
_atom_site_label
_atom_site_type_symbol
_atom_site_fract_x
_atom_site_fract_y
_atom_site_fract_z
_atom_site_occupancy
Pa1 Pa 0.0000 0.0000 0.0000 1
Zn1 Zn 0.0000 0.0000 0.5000 1
P1 P 0.5000 0.5000 0.1438 1
Ru1 Ru 0.0000 0.5000 0.2820 1
Ru2 Ru 0.5000 0.5000 0.5000 1